Entry 1:
! TaMo4S10 (PBE-GGA, optimized geometry); values from VASP
&SYSTEM
  ibrav = 0, nat = 15, ntyp = 3
/
ATOMIC_SPECIES
Ta 180.95 Ta.upf
Mo 95.94 Mo.upf
S 32.06 S.upf
CELL_PARAMETERS angstrom
-1.586 5.245 -1.152
-4.909 0.536 4.676
5.765 5.437 3.217
ATOMIC_POSITIONS angstrom
Ta -3.255 5.369 1.659
Mo -1.134 3.310 3.004
Mo -0.606 6.483 3.192
Mo 1.457 4.406 4.504
Mo 1.976 7.608 4.686
S 2.237 9.286 2.961
S 1.217 2.920 2.619
S 1.744 6.110 2.807
S -0.853 4.997 1.291
S -1.410 1.843 1.084
S -3.002 1.949 3.760
S -2.445 5.103 3.966
S -1.949 8.270 4.122
S 0.164 6.215 5.462
S 0.645 9.392 5.636
! SG: P1 (1)
! Formation energy without anion corrections: -0.90 eV/atom

Entry 2:
! DyInCl (PBE-GGA, optimized geometry); values from VASP
&SYSTEM
  ibrav = 0, nat = 6, ntyp = 3
/
ATOMIC_SPECIES
Dy 162.50 Dy.upf
In 114.82 In.upf
Cl 35.45 Cl.upf
CELL_PARAMETERS angstrom
3.758 0.000 0.000
1.879 3.248 -0.220
1.879 -0.172 13.746
ATOMIC_POSITIONS angstrom
Dy 3.758 0.228 3.471
Dy 3.758 2.847 10.055
In 3.758 0.527 7.900
In 3.758 2.549 5.626
Cl 1.879 1.196 1.700
Cl 5.638 1.880 11.826
! SG: C2/m (12)
! Formation energy without anion corrections: -1.10 eV/atom

Repeat the first record exactly.
! TaMo4S10 (PBE-GGA, optimized geometry); values from VASP
&SYSTEM
  ibrav = 0, nat = 15, ntyp = 3
/
ATOMIC_SPECIES
Ta 180.95 Ta.upf
Mo 95.94 Mo.upf
S 32.06 S.upf
CELL_PARAMETERS angstrom
-1.586 5.245 -1.152
-4.909 0.536 4.676
5.765 5.437 3.217
ATOMIC_POSITIONS angstrom
Ta -3.255 5.369 1.659
Mo -1.134 3.310 3.004
Mo -0.606 6.483 3.192
Mo 1.457 4.406 4.504
Mo 1.976 7.608 4.686
S 2.237 9.286 2.961
S 1.217 2.920 2.619
S 1.744 6.110 2.807
S -0.853 4.997 1.291
S -1.410 1.843 1.084
S -3.002 1.949 3.760
S -2.445 5.103 3.966
S -1.949 8.270 4.122
S 0.164 6.215 5.462
S 0.645 9.392 5.636
! SG: P1 (1)
! Formation energy without anion corrections: -0.90 eV/atom